[1]
# MnGe2Rh

A relaxed MnGe2Rh crystal (GGA-PBE, Alexandria).

Computed properties:
Volume: 13.51 Å³/atom
E above lowest polymorph: 28 meV per atom
DFT formation energy: -0.5 eV/f.u.
Crystal system: cubic
DFT total energy: -105.2 eV for the cell shown

abc: 6.002 6.002 6.002
angles: 90.00 90.00 90.00
Space group Fm-3m (No. 225)
Inequivalent atoms, fractional coordinates:
Mn1 0.000 0.000 0.000 (multiplicity 4)
Ge1 0.250 0.250 0.250 (multiplicity 8)
Rh1 0.000 0.000 0.500 (multiplicity 4)

[2]
# MnGe2Rh

A relaxed MnGe2Rh crystal (GGA-PBE, Alexandria).

Computed properties:
Volume: 13.51 Å³/atom
E above lowest polymorph: 19 meV per atom
DFT formation energy: -0.6 eV/f.u.
Crystal system: tetragonal
DFT total energy: -26.3 eV for the cell shown

abc: 4.221 4.221 3.032
angles: 90.00 90.00 90.00
Space group P4/mmm (No. 123)
Inequivalent atoms, fractional coordinates:
Mn1 0.000 0.000 0.000 (multiplicity 1)
Ge1 0.000 0.500 0.500 (multiplicity 2)
Rh1 0.500 0.500 0.000 (multiplicity 1)

[3]
# MnGeRh

A relaxed MnGeRh crystal (GGA-PBE, Alexandria).

Computed properties:
Volume: 14.79 Å³/atom
DFT formation energy: -0.8 eV/f.u.
Crystal system: hexagonal
DFT total energy: -22.0 eV for the cell shown

abc: 4.2170 4.2170 2.8806
angles: 90.00 90.00 120.00
Space group P-6m2 (No. 187)
Inequivalent atoms, fractional coordinates:
Mn1 0.0000 0.0000 0.0000 (multiplicity 1)
Ge1 0.3333 0.6667 0.5000 (multiplicity 1)
Rh1 0.6667 0.3333 0.5000 (multiplicity 1)

[4]
# Mn2GeRh8

A relaxed Mn2GeRh8 crystal (GGA-PBE, Alexandria).

Computed properties:
Volume: 14.30 Å³/atom
DFT formation energy: -0.6 eV/f.u.
Crystal system: orthorhombic
DFT total energy: -164.6 eV for the cell shown

abc: 4.084 6.958 11.070
angles: 90.00 90.00 90.00
Space group Immm (No. 71)
Inequivalent atoms, fractional coordinates:
Mn1 0.000 0.000 0.199 (multiplicity 4)
Ge1 0.000 0.000 0.500 (multiplicity 2)
Rh1 0.000 0.182 0.000 (multiplicity 4)
Rh2 0.000 0.286 0.345 (multiplicity 8)
Rh3 0.000 0.500 0.139 (multiplicity 4)

[5]
# MnGe2Rh

A relaxed MnGe2Rh crystal (GGA-PBE, Alexandria).

Computed properties:
Volume: 16.73 Å³/atom
E above lowest polymorph: 208 meV per atom
DFT formation energy: 0.2 eV/f.u.
Crystal system: trigonal
DFT total energy: -76.7 eV for the cell shown

abc: 2.9748 2.9748 26.1994
angles: 90.00 90.00 120.00
Space group R-3m (No. 166, hexagonal axes)
Inequivalent atoms, fractional coordinates:
Mn1 0.0000 0.0000 0.0000 (multiplicity 3)
Ge1 0.0000 0.0000 0.0940 (multiplicity 6)
Rh1 0.0000 0.0000 0.5000 (multiplicity 3)

[6]
# Mn2Ge2Rh3

A relaxed Mn2Ge2Rh3 crystal (GGA-PBE, Alexandria).

Computed properties:
Volume: 15.29 Å³/atom
DFT formation energy: -2.0 eV/f.u.
Crystal system: triclinic
DFT total energy: -51.6 eV for the cell shown

abc: 4.258 4.271 7.215
angles: 107.14 90.10 119.83
Space group P-1 (No. 2)
Inequivalent atoms, fractional coordinates:
Mn1 0.130 0.261 0.391 (multiplicity 2)
Ge1 0.393 0.788 0.179 (multiplicity 2)
Rh1 0.000 0.000 0.000 (multiplicity 1)
Rh2 0.259 0.518 0.778 (multiplicity 2)